MgNiSb2: optimized geometry, PBE.

Cell: 3.2909 4.1065 6.7093 Å, 71.75 90.00 90.00°
Closest atoms and distances in Å follow each position.
Element x y z (fractional)
Sb  0.5000  0.3093  0.2649  1 Ni 2.59
Sb  0.0000  0.9976  0.8740  4 Ni 2.63
Mg  0.0000  0.6879  0.5019  2 Ni 2.81, 6 Sb 3.03-3.14
Ni  0.5000  0.5051  0.8591  5 Sb 2.59-2.63, 2 Mg 2.81

## Properties
- VASP energy: -0.29256 Ry/atom
- Fermi-level density of states: 2.7 states/eV/cell
- Space group: Pm
- E_form (uncorrected): -1.74 kcal/mol of atoms